No. 1
Density functional theory data (GGA-PBE) for an optimized crystal structure of MnCrP2.

Output
Calculated density ... 6.2 Mg/m³
VASP energy ... -7.767 eV per atom
Crystal system ... monoclinic
Polymorph energy (0 for the lowest one) ... 197 meV/atom
Formation enthalpy at 0 K ... -0.364 eV per atom

Cell and atoms, written as POSCAR:
```
MnCrP2
1.0
3.9954 -1.4409 0.0000
3.9954 1.4409 0.0000
-1.1025 0.0000 3.9444
Mn Cr P
1 1 2
direct
0.0000 0.0000 0.0000
0.7710 0.7710 0.3971
0.2643 0.2643 0.8791
0.5082 0.5082 0.5196
```

=====

No. 2
Density functional theory data (GGA-PBE) for an optimized crystal structure of MnCrP2.

Output
Calculated density ... 6.3 Mg/m³
VASP energy ... -7.676 eV per atom
Crystal system ... cubic
Polymorph energy (0 for the lowest one) ... 288 meV/atom
Formation enthalpy at 0 K ... -0.273 eV per atom

Cell and atoms, written as POSCAR:
```
MnCrP2
1.0
0.0000 2.8055 2.8055
2.8055 0.0000 2.8055
2.8055 2.8055 0.0000
Mn Cr P
1 1 2
direct
0.0000 0.0000 0.0000
0.5000 0.5000 0.5000
0.2500 0.2500 0.2500
0.7500 0.7500 0.7500
```